1.
TbPrSn2Pt4 after structural relaxation, computed with GGA-PBE.

Calculated values
Uncorrected energy   -6.167 eV/atom

abc: 4.604 4.604 9.242
angles: 90.00 90.00 120.00
Fractional coordinates of all 8 atoms:
Pt 0.000 0.000 0.656
Tb 0.667 0.333 0.500
Pr 0.000 0.000 0.000
Pt 0.000 0.000 0.344
Pt 0.667 0.333 0.831
Pt 0.667 0.333 0.169
Sn 0.333 0.667 0.256
Sn 0.333 0.667 0.744

---

2.
Cu10Sn3 after structural relaxation, computed with GGA-PBE.

Calculated values
Uncorrected energy   -3.776 eV/atom
Distance to the lowest polymorph of the same formula   0.00 kJ per mole of atoms

abc: 7.325 7.325 7.922
angles: 90.00 90.00 120.00
Fractional coordinates of all 26 atoms:
Cu 0.333 0.667 0.746
Cu 0.667 0.333 0.246
Cu 0.028 0.671 0.581
Cu 0.000 0.000 0.985
Cu 0.671 0.643 0.081
Sn 0.707 0.684 0.747
Sn 0.316 0.023 0.747
Cu 0.329 0.357 0.581
Cu 0.331 0.359 0.914
Cu 0.643 0.972 0.581
Cu 0.028 0.669 0.914
Sn 0.023 0.707 0.247
Cu 0.000 0.000 0.485
Cu 0.669 0.641 0.414
Sn 0.684 0.977 0.247
Cu 0.359 0.028 0.414
Cu 0.972 0.329 0.081
Cu 0.357 0.028 0.081
Cu 0.333 0.667 0.419
Cu 0.667 0.333 0.919
Sn 0.293 0.316 0.247
Sn 0.977 0.293 0.747
Cu 0.667 0.333 0.574
Cu 0.972 0.331 0.414
Cu 0.333 0.667 0.074
Cu 0.641 0.972 0.914

---

3.
TlGe5Pd3 after structural relaxation, computed with GGA-PBE.

Calculated values
Uncorrected energy   -4.614 eV/atom

abc: 5.511 5.511 6.675
angles: 90.00 90.00 120.00
Fractional coordinates of all 9 atoms:
Pd 0.500 0.500 0.500
Ge 0.333 0.667 0.806
Ge 0.333 0.667 0.194
Ge 0.667 0.333 0.806
Pd 0.500 0.000 0.500
Tl 0.000 0.000 0.000
Ge 0.000 0.000 0.500
Ge 0.667 0.333 0.194
Pd 0.000 0.500 0.500

---

> Which value of uncorrected energy does entry 3 give?

-4.614 eV/atom